(1)
Ba4CrFe | PBE | relaxed

raw total energy	-3.096	eV per atom
DOS at the Fermi energy	2.058	states/eV/atom
space group	No. 216
energy relative to the elements	1.200	eV per atom

a b c (Å): 7.1807 7.1807 7.1807
angles (deg): 60.00 60.00 60.00
With the nearest neighbours (Å) after each atom.
Positions (direct):
Ba: 0.1253 0.1253 0.1253  6 Ba 3.58-3.60
Ba: 0.1253 0.1253 0.6241  6 Ba 3.58-3.60
Ba: 0.1253 0.6241 0.1253  6 Ba 3.58-3.60
Ba: 0.6241 0.1253 0.1253  6 Ba 3.58-3.60
Cr: 0.7500 0.7500 0.7500  12 Ba 4.21, 4 Fe 4.40
Fe: 0.5000 0.5000 0.5000  12 Ba 4.21, 4 Cr 4.40



(2)
Ba2CrFe | PBE | relaxed

raw total energy	-4.610	eV per atom
DOS at the Fermi energy	1.548	states/eV/atom
space group	No. 225
energy relative to the elements	0.872	eV per atom

a b c (Å): 8.0411 8.0411 8.0411
angles (deg): 90.00 90.00 90.00
With the nearest neighbours (Å) after each atom.
Positions (direct):
Ba: 0.2500 0.2500 0.2500  4 Fe 3.48, 4 Cr 3.48
Ba: 0.2500 0.2500 0.7500  4 Cr 3.48, 4 Fe 3.48
Ba: 0.2500 0.7500 0.2500  4 Cr 3.48, 4 Fe 3.48
Ba: 0.2500 0.7500 0.7500  4 Cr 3.48, 4 Fe 3.48
Ba: 0.7500 0.2500 0.2500  4 Cr 3.48, 4 Fe 3.48
Ba: 0.7500 0.2500 0.7500  4 Cr 3.48, 4 Fe 3.48
Ba: 0.7500 0.7500 0.2500  4 Cr 3.48, 4 Fe 3.48
Ba: 0.7500 0.7500 0.7500  4 Cr 3.48, 4 Fe 3.48
Cr: 0.0000 0.0000 0.0000  8 Ba 3.48
Cr: 0.0000 0.5000 0.5000  8 Ba 3.48
Cr: 0.5000 0.0000 0.5000  8 Ba 3.48
Cr: 0.5000 0.5000 0.0000  8 Ba 3.48
Fe: 0.0000 0.0000 0.5000  8 Ba 3.48
Fe: 0.0000 0.5000 0.0000  8 Ba 3.48
Fe: 0.5000 0.0000 0.0000  8 Ba 3.48
Fe: 0.5000 0.5000 0.5000  8 Ba 3.48



(3)
BaCr2Fe | PBE | relaxed

raw total energy	-6.023	eV per atom
DOS at the Fermi energy	1.444	states/eV/atom
space group	No. 12
energy relative to the elements	1.386	eV per atom

a b c (Å): 6.0036 10.2930 3.1404
angles (deg): 90.00 118.60 90.00
With the nearest neighbours (Å) after each atom.
Positions (direct):
Ba: 0.0000 0.0000 0.0000  4 Fe 3.00-3.14, 4 Cr 3.01, 2 Ba 3.14
Ba: 0.5000 0.5000 0.0000  4 Fe 3.00-3.14, 4 Cr 3.01, 2 Ba 3.14
Cr: 0.2500 0.2500 0.5000  6 Cr 3.00-3.14, 2 Fe 3.01, 2 Ba 3.01
Cr: 0.2500 0.7500 0.5000  6 Cr 3.00-3.14, 2 Ba 3.01, 2 Fe 3.01
Cr: 0.7500 0.2500 0.5000  6 Cr 3.00-3.14, 2 Fe 3.01, 2 Ba 3.01
Cr: 0.7500 0.7500 0.5000  6 Cr 3.00-3.14, 2 Ba 3.01, 2 Fe 3.01
Fe: 0.0000 0.5000 0.0000  4 Ba 3.00-3.14, 4 Cr 3.01, 2 Fe 3.14
Fe: 0.5000 0.0000 0.0000  4 Ba 3.00-3.14, 4 Cr 3.01, 2 Fe 3.14



(4)
Ba2CrFe | PBE | relaxed

raw total energy	-4.587	eV per atom
DOS at the Fermi energy	1.609	states/eV/atom
space group	No. 10
energy relative to the elements	0.896	eV per atom

a b c (Å): 4.0418 4.0854 8.1982
angles (deg): 90.00 91.57 90.00
With the nearest neighbours (Å) after each atom.
Positions (direct):
Ba: 0.0156 0.0000 0.2678  4 Fe 3.38-3.52, 4 Cr 3.61-3.62
Ba: 0.9844 0.0000 0.7322  4 Fe 3.38-3.52, 4 Cr 3.61-3.62
Cr: 0.5000 0.5000 0.0000  8 Ba 3.61-3.62, 2 Cr 4.04
Fe: 0.5000 0.5000 0.5000  8 Ba 3.38-3.52



(5)
BaCr2Fe | PBE | relaxed

raw total energy	-5.859	eV per atom
DOS at the Fermi energy	0.825	states/eV/atom
space group	No. 225
energy relative to the elements	1.549	eV per atom

a b c (Å): 6.3146 6.3146 6.3146
angles (deg): 90.00 90.00 90.00
With the nearest neighbours (Å) after each atom.
Positions (direct):
Ba: 0.0000 0.0000 0.0000  8 Cr 2.73
Ba: 0.0000 0.5000 0.5000  8 Cr 2.73
Ba: 0.5000 0.0000 0.5000  8 Cr 2.73
Ba: 0.5000 0.5000 0.0000  8 Cr 2.73
Cr: 0.2500 0.2500 0.2500  4 Ba 2.73, 4 Fe 2.73
Cr: 0.2500 0.2500 0.7500  4 Ba 2.73, 4 Fe 2.73
Cr: 0.2500 0.7500 0.2500  4 Ba 2.73, 4 Fe 2.73
Cr: 0.2500 0.7500 0.7500  4 Ba 2.73, 4 Fe 2.73
Cr: 0.7500 0.2500 0.2500  4 Ba 2.73, 4 Fe 2.73
Cr: 0.7500 0.2500 0.7500  4 Ba 2.73, 4 Fe 2.73
Cr: 0.7500 0.7500 0.2500  4 Ba 2.73, 4 Fe 2.73
Cr: 0.7500 0.7500 0.7500  4 Ba 2.73, 4 Fe 2.73
Fe: 0.0000 0.0000 0.5000  8 Cr 2.73
Fe: 0.0000 0.5000 0.0000  8 Cr 2.73
Fe: 0.5000 0.0000 0.0000  8 Cr 2.73
Fe: 0.5000 0.5000 0.5000  8 Cr 2.73



(6)
Ba2CrFe | PBE | relaxed

raw total energy	-4.705	eV per atom
DOS at the Fermi energy	1.325	states/eV/atom
space group	No. 99
energy relative to the elements	0.778	eV per atom

a b c (Å): 3.6209 3.6209 9.3251
angles (deg): 90.00 90.00 90.00
With the nearest neighbours (Å) after each atom.
Positions (direct):
Ba: 0.0000 0.0000 0.0000  1 Cr 3.01
Ba: 0.5000 0.5000 0.4238  1 Fe 3.08
Cr: 0.0000 0.0000 0.6770  4 Fe 2.66
Fe: 0.5000 0.5000 0.7544  4 Cr 2.66



(7)
BaCr2Fe | PBE | relaxed

raw total energy	-6.139	eV per atom
DOS at the Fermi energy	1.589	states/eV/atom
space group	No. 71
energy relative to the elements	1.269	eV per atom

a b c (Å): 4.4939 6.3333 7.1585
angles (deg): 90.00 90.00 90.00
With the nearest neighbours (Å) after each atom.
Positions (direct):
Ba: 0.0000 0.0000 0.0000  8 Cr 3.30-3.48, 2 Fe 3.58
Ba: 0.5000 0.5000 0.5000  8 Cr 3.30-3.48, 2 Fe 3.58
Cr: 0.0000 0.5000 0.1292  1 Cr 1.85
Cr: 0.0000 0.5000 0.8708  1 Cr 1.85
Cr: 0.5000 0.0000 0.3708  1 Cr 1.85
Cr: 0.5000 0.0000 0.6292  1 Cr 1.85
Fe: 0.0000 0.0000 0.5000  4 Cr 2.43
Fe: 0.5000 0.5000 0.0000  4 Cr 2.43



(8)
BaCr3Fe | PBE | relaxed

raw total energy	-6.905	eV per atom
DOS at the Fermi energy	1.046	states/eV/atom
space group	No. 221
energy relative to the elements	0.947	eV per atom

a b c (Å): 4.7092 4.7092 4.7092
angles (deg): 90.00 90.00 90.00
With the nearest neighbours (Å) after each atom.
Positions (direct):
Ba: 0.0000 0.0000 0.0000  12 Cr 3.33
Cr: 0.0000 0.5000 0.5000  2 Fe 2.35
Cr: 0.5000 0.0000 0.5000  2 Fe 2.35
Cr: 0.5000 0.5000 0.0000  2 Fe 2.35
Fe: 0.5000 0.5000 0.5000  6 Cr 2.35



(9)
BaCr2Fe | PBE | relaxed

raw total energy	-6.701	eV per atom
DOS at the Fermi energy	1.012	states/eV/atom
space group	No. 99
energy relative to the elements	0.707	eV per atom

a b c (Å): 3.1028 3.1028 7.9197
angles (deg): 90.00 90.00 90.00
With the nearest neighbours (Å) after each atom.
Positions (direct):
Ba: 0.0000 0.0000 0.0000  4 Ba 3.10, 4 Fe 3.35
Cr: 0.0000 0.0000 0.5201  4 Fe 2.53, 4 Cr 2.56
Cr: 0.5000 0.5000 0.3532  4 Cr 2.56, 1 Fe 2.59
Fe: 0.5000 0.5000 0.6801  5 Cr 2.53-2.59



(10)
BaCr2Fe | PBE | relaxed

raw total energy	-6.420	eV per atom
DOS at the Fermi energy	1.065	states/eV/atom
space group	No. 44
energy relative to the elements	0.988	eV per atom

a b c (Å): 4.1214 5.8542 7.8847
angles (deg): 90.00 90.00 90.00
With the nearest neighbours (Å) after each atom.
Positions (direct):
Ba: 0.0000 0.0000 0.0000  8 Cr 3.23-3.59, 4 Fe 3.24-3.29
Ba: 0.5000 0.5000 0.5000  8 Cr 3.23-3.59, 4 Fe 3.24-3.29
Cr: 0.0000 0.0000 0.4720  2 Fe 2.37, 2 Cr 2.60
Cr: 0.0000 0.5000 0.1727  2 Cr 2.60, 1 Fe 2.74
Cr: 0.5000 0.0000 0.6727  2 Cr 2.60, 1 Fe 2.74
Cr: 0.5000 0.5000 0.9720  2 Fe 2.37, 2 Cr 2.60
Fe: 0.0000 0.5000 0.8247  2 Cr 2.37
Fe: 0.5000 0.0000 0.3247  2 Cr 2.37



(11)
BaCrFe3 | PBE | relaxed

raw total energy	-6.421	eV per atom
DOS at the Fermi energy	1.279	states/eV/atom
space group	No. 221
energy relative to the elements	0.965	eV per atom

a b c (Å): 4.6154 4.6154 4.6154
angles (deg): 90.00 90.00 90.00
With the nearest neighbours (Å) after each atom.
Positions (direct):
Ba: 0.0000 0.0000 0.0000  12 Fe 3.26
Cr: 0.5000 0.5000 0.5000  6 Fe 2.31
Fe: 0.0000 0.5000 0.5000  2 Cr 2.31
Fe: 0.5000 0.0000 0.5000  2 Cr 2.31
Fe: 0.5000 0.5000 0.0000  2 Cr 2.31



(12)
BaCr3Fe | PBE | relaxed

raw total energy	-4.507	eV per atom
DOS at the Fermi energy	3.563	states/eV/atom
space group	No. 221
energy relative to the elements	3.344	eV per atom

a b c (Å): 4.6204 4.6204 4.6204
angles (deg): 90.00 90.00 90.00
With the nearest neighbours (Å) after each atom.
Positions (direct):
Ba: 0.0000 0.0000 0.0000  6 Cr 2.31
Cr: 0.0000 0.0000 0.5000  2 Ba 2.31
Cr: 0.0000 0.5000 0.0000  2 Ba 2.31
Cr: 0.5000 0.0000 0.0000  2 Ba 2.31
Fe: 0.5000 0.5000 0.5000  12 Cr 3.27



(13)
BaCr2Fe | PBE | relaxed

raw total energy	-6.376	eV per atom
DOS at the Fermi energy	1.117	states/eV/atom
space group	No. 141
energy relative to the elements	1.032	eV per atom

a b c (Å): 5.4647 5.4647 14.8070
angles (deg): 90.00 90.00 90.00
With the nearest neighbours (Å) after each atom.
Positions (direct):
Ba: 0.0000 0.2500 0.3750  8 Cr 3.57, 4 Fe 3.86
Ba: 0.0000 0.7500 0.6250  8 Cr 3.57, 4 Fe 3.86
Ba: 0.5000 0.2500 0.1250  8 Cr 3.57, 4 Fe 3.86
Ba: 0.5000 0.7500 0.8750  8 Cr 3.57, 4 Fe 3.86
Cr: 0.0000 0.0000 0.0000  2 Fe 2.30
Cr: 0.0000 0.5000 0.0000  2 Fe 2.30
Cr: 0.2500 0.2500 0.7500  2 Fe 2.30
Cr: 0.2500 0.7500 0.2500  2 Fe 2.30
Cr: 0.5000 0.0000 0.5000  2 Fe 2.30
Cr: 0.5000 0.5000 0.5000  2 Fe 2.30
Cr: 0.7500 0.2500 0.7500  2 Fe 2.30
Cr: 0.7500 0.7500 0.2500  2 Fe 2.30
Fe: 0.0000 0.2500 0.8750  4 Cr 2.30
Fe: 0.0000 0.7500 0.1250  4 Cr 2.30
Fe: 0.5000 0.2500 0.6250  4 Cr 2.30
Fe: 0.5000 0.7500 0.3750  4 Cr 2.30



(14)
BaCr2Fe | PBE | relaxed

raw total energy	-6.251	eV per atom
DOS at the Fermi energy	1.126	states/eV/atom
space group	No. 47
energy relative to the elements	1.157	eV per atom

a b c (Å): 3.3086 4.7815 5.2294
angles (deg): 90.00 90.00 90.00
With the nearest neighbours (Å) after each atom.
Positions (direct):
Ba: 0.0000 0.0000 0.0000  4 Fe 2.91, 4 Cr 3.09
Cr: 0.0000 0.5000 0.5000  4 Cr 2.91, 4 Fe 3.09
Cr: 0.5000 0.0000 0.5000  4 Cr 2.91, 4 Ba 3.09
Fe: 0.5000 0.5000 0.0000  4 Ba 2.91, 4 Cr 3.09



(15)
Ba2CrFe | PBE | relaxed

raw total energy	-4.829	eV per atom
DOS at the Fermi energy	1.367	states/eV/atom
space group	No. 44
energy relative to the elements	0.653	eV per atom

a b c (Å): 4.1596 5.7227 10.7309
angles (deg): 90.00 90.00 90.00
With the nearest neighbours (Å) after each atom.
Positions (direct):
Ba: 0.0000 0.0000 0.0000  4 Cr 3.53-3.90, 4 Ba 3.57-3.84, 4 Fe 3.69
Ba: 0.0000 0.5000 0.1989  4 Ba 3.57-3.84, 4 Fe 3.60-3.80, 4 Cr 3.72
Ba: 0.5000 0.0000 0.6989  4 Ba 3.57-3.84, 4 Fe 3.60-3.80, 4 Cr 3.72
Ba: 0.5000 0.5000 0.5000  4 Cr 3.53-3.90, 4 Ba 3.57-3.84, 4 Fe 3.69
Cr: 0.0000 0.5000 0.8071  2 Fe 2.32
Cr: 0.5000 0.0000 0.3071  2 Fe 2.32
Fe: 0.0000 0.0000 0.4028  2 Cr 2.32
Fe: 0.5000 0.5000 0.9028  2 Cr 2.32



(16)
Ba2CrFe | PBE | relaxed

raw total energy	-4.600	eV per atom
DOS at the Fermi energy	1.401	states/eV/atom
space group	No. 12
energy relative to the elements	0.883	eV per atom

a b c (Å): 8.1332 8.1378 3.9245
angles (deg): 90.00 90.09 90.00
With the nearest neighbours (Å) after each atom.
Positions (direct):
Ba: 0.2500 0.2500 0.0000  4 Cr 3.48, 4 Fe 3.48
Ba: 0.2500 0.7500 0.0000  4 Cr 3.48, 4 Fe 3.48
Ba: 0.7500 0.2500 0.0000  4 Cr 3.48, 4 Fe 3.48
Ba: 0.7500 0.7500 0.0000  4 Cr 3.48, 4 Fe 3.48
Cr: 0.0000 0.0000 0.5000  8 Ba 3.48
Cr: 0.5000 0.5000 0.5000  8 Ba 3.48
Fe: 0.0000 0.5000 0.5000  8 Ba 3.48
Fe: 0.5000 0.0000 0.5000  8 Ba 3.48



(17)
Ba2CrFe | PBE | relaxed

raw total energy	-4.869	eV per atom
DOS at the Fermi energy	1.454	states/eV/atom
space group	No. 38
energy relative to the elements	0.614	eV per atom

a b c (Å): 4.3333 5.1734 12.1967
angles (deg): 90.00 90.00 90.00
With the nearest neighbours (Å) after each atom.
Positions (direct):
Ba: 0.0000 0.0000 0.0000  2 Cr 3.41, 4 Fe 3.60
Ba: 0.0000 0.5000 0.5000  2 Cr 3.41, 4 Fe 3.60
Ba: 0.5000 0.0000 0.2860  2 Fe 3.42, 4 Cr 3.60
Ba: 0.5000 0.5000 0.7860  2 Fe 3.42, 4 Cr 3.60
Cr: 0.0000 0.0000 0.6824  2 Fe 2.37
Cr: 0.0000 0.5000 0.1824  2 Fe 2.37
Fe: 0.5000 0.0000 0.6031  2 Cr 2.37
Fe: 0.5000 0.5000 0.1031  2 Cr 2.37



(18)
BaCr2Fe | PBE | relaxed

raw total energy	-6.015	eV per atom
DOS at the Fermi energy	1.398	states/eV/atom
space group	No. 65
energy relative to the elements	1.393	eV per atom

a b c (Å): 6.1573 8.7080 3.1467
angles (deg): 90.00 90.00 90.00
With the nearest neighbours (Å) after each atom.
Positions (direct):
Ba: 0.0000 0.0000 0.0000  2 Fe 3.08, 8 Cr 3.10, 2 Ba 3.15
Ba: 0.5000 0.5000 0.0000  2 Fe 3.08, 8 Cr 3.10, 2 Ba 3.15
Cr: 0.2500 0.2500 0.5000  4 Cr 3.08-3.15, 4 Fe 3.10, 4 Ba 3.10
Cr: 0.2500 0.7500 0.5000  4 Cr 3.08-3.15, 4 Fe 3.10, 4 Ba 3.10
Cr: 0.7500 0.2500 0.5000  4 Cr 3.08-3.15, 4 Fe 3.10, 4 Ba 3.10
Cr: 0.7500 0.7500 0.5000  4 Cr 3.08-3.15, 4 Ba 3.10, 4 Fe 3.10
Fe: 0.0000 0.5000 0.0000  2 Ba 3.08, 8 Cr 3.10, 2 Fe 3.15
Fe: 0.5000 0.0000 0.0000  2 Ba 3.08, 8 Cr 3.10, 2 Fe 3.15



(19)
BaCr2Fe | PBE | relaxed

raw total energy	-6.793	eV per atom
DOS at the Fermi energy	1.077	states/eV/atom
space group	No. 160
energy relative to the elements	0.615	eV per atom

a b c (Å): 4.1140 4.1140 18.2351
angles (deg): 90.00 90.00 120.00
With the nearest neighbours (Å) after each atom.
Positions (direct):
Ba: 0.0000 0.0000 0.0000  4 Fe 3.44-3.59, 7 Cr 3.45-3.74
Ba: 0.3333 0.6667 0.6667  4 Fe 3.44-3.59, 7 Cr 3.45-3.74
Ba: 0.6667 0.3333 0.3333  4 Fe 3.44-3.59, 7 Cr 3.45-3.74
Cr: 0.0000 0.0000 0.5084  3 Fe 2.41, 3 Cr 2.47
Cr: 0.0000 0.0000 0.8042  3 Cr 2.47, 3 Fe 2.61
Cr: 0.3333 0.6667 0.1751  3 Fe 2.41, 3 Cr 2.47
Cr: 0.3333 0.6667 0.4709  3 Cr 2.47, 3 Fe 2.61
Cr: 0.6667 0.3333 0.1375  3 Cr 2.47, 3 Fe 2.61
Cr: 0.6667 0.3333 0.8418  3 Fe 2.41, 3 Cr 2.47
Fe: 0.0000 0.0000 0.1968  6 Cr 2.41-2.61
Fe: 0.3333 0.6667 0.8634  6 Cr 2.41-2.61
Fe: 0.6667 0.3333 0.5301  6 Cr 2.41-2.61



(20)
Ba2CrFe | PBE | relaxed

raw total energy	-4.414	eV per atom
DOS at the Fermi energy	1.990	states/eV/atom
space group	No. 166
energy relative to the elements	1.069	eV per atom

a b c (Å): 4.2161 4.2161 28.3606
angles (deg): 90.00 90.00 120.00
With the nearest neighbours (Å) after each atom.
Positions (direct):
Ba: 0.0000 0.0000 0.2411  3 Fe 3.22, 3 Cr 3.57
Ba: 0.0000 0.0000 0.7589  3 Fe 3.22, 3 Cr 3.57
Ba: 0.3333 0.6667 0.4256  3 Fe 3.22, 3 Cr 3.57
Ba: 0.3333 0.6667 0.9078  3 Fe 3.22, 3 Cr 3.57
Ba: 0.6667 0.3333 0.0922  3 Fe 3.22, 3 Cr 3.57
Ba: 0.6667 0.3333 0.5744  3 Fe 3.22, 3 Cr 3.57
Cr: 0.0000 0.0000 0.0000  6 Ba 3.57
Cr: 0.3333 0.6667 0.6667  6 Ba 3.57
Cr: 0.6667 0.3333 0.3333  6 Ba 3.57
Fe: 0.0000 0.0000 0.5000  6 Ba 3.22
Fe: 0.3333 0.6667 0.1667  6 Ba 3.22
Fe: 0.6667 0.3333 0.8333  6 Ba 3.22